## SrCo2Hg (PBE)

Data for an optimized crystal structure of SrCo2Hg.

## Properties
Symmetry = I-4m2
E_form = 594 meV per atom
Magnetic moment = 3.1 μB/f.u.

extended XYZ file:
```
4
Lattice="-2.212 2.212 4.080 2.212 -2.212 4.080 2.212 2.212 -4.080" Properties=species:S:1:pos:R:3 pbc="T T T"
Sr 0.000 0.000 0.000
Co 2.212 0.000 2.040
Co 0.000 0.000 4.080
Hg 0.000 2.212 2.040
```